Model i:
Entry from Alexandria: a relaxed structure of Nd3SiH (PBE).

Cell: 8.2184 6.3445 10.5614 Å, 90.00 121.47 90.00°
Closest atoms and distances in Å follow each position.
Space group P2_1/c (No. 14)
One atom of each set of equivalent atoms:
Nd 0.0679 0.0234 0.3689  2 H 2.38-2.43
Nd 0.2004 0.5409 0.5032  2 H 2.39-2.50
Nd 0.4028 0.2307 0.3201  1 H 2.59
Si 0.3521 0.7355 0.3214  8 Nd 3.04-3.24
H 0.0854 0.2373 0.5667  5 Nd 2.38-2.59

---

Model ii:
Entry from Alexandria: a relaxed structure of Nd3SiH (PBE).

Cell: 4.8395 4.8395 4.8395 Å, 90.00 90.00 90.00°
Closest atoms and distances in Å follow each position.
Space group Pm-3m (No. 221)
One atom of each set of equivalent atoms:
Nd 0.0000 0.0000 0.5000  2 H 2.42
Si 0.5000 0.5000 0.5000  12 Nd 3.42
H 0.0000 0.0000 0.0000  6 Nd 2.42

---

Least stable of them? model ii.